9
Lattice="5.4148 0.0000 0.0000 -2.7074 4.6894 0.0000 0.0000 0.0000 10.2472" Properties=species:S:1:pos:R:3 comment="PmBeBi, optimized geometry, DFT PBE" spacegroup="No. 187" total_energy_ev_per_cell=-35.4 relative_energy_ev_per_atom=0.000 crystal_system=hexagonal pbc="T T T"
Pm 0.0000 0.0000 0.0000
Pm 2.7074 1.5631 3.1265
Pm 2.7074 1.5631 7.1206
Be 0.0000 3.1263 2.9756
Be 0.0000 3.1263 5.1236
Be 0.0000 3.1263 7.2716
Bi 0.0000 0.0000 3.2890
Bi 0.0000 0.0000 6.9582
Bi 2.7074 1.5631 0.0000